Entry from Alexandria: Ta2TlCu at its PBEsol-relaxed geometry (SCAN).

abc: 2.914 4.010 5.829
angles: 90.00 90.32 90.00
Positions (direct):
Ta  0.002  0.000  0.270
Ta  0.998  0.000  0.730
Tl  0.500  0.500  0.000
Cu  0.500  0.500  0.500

Space-group type ... P2/m, No. 10
Fermi-level density of states ... 1.4 states/eV per cell
Volume ... 68.11 Å³ per cell
Spin magnetization ... 0.00 μB/f.u.
Energy relative to the elements ... 328 meV/atom

Entry from Alexandria: Ta2TlCu at its PBEsol-relaxed geometry (SCAN).

abc: 9.367 9.367 9.367
angles: 18.28 18.28 18.28
Positions (direct):
Ta  0.242  0.242  0.242
Ta  0.758  0.758  0.758
Tl  0.000  0.000  0.000
Cu  0.500  0.500  0.500

Space-group type ... R-3m, No. 166
Fermi-level density of states ... 2.8 states/eV per cell
Volume ... 70.60 Å³ per cell
Spin magnetization ... 0.00 μB/f.u.
Energy relative to the elements ... 517 meV/atom

Entry from Alexandria: TaTlCu2 at its PBEsol-relaxed geometry (SCAN).

abc: 2.948 3.639 6.002
angles: 90.00 90.00 90.00
Positions (direct):
Ta  0.000  0.000  0.000
Tl  0.000  0.000  0.500
Cu  0.500  0.500  0.218
Cu  0.500  0.500  0.782

Space-group type ... Pmmm, No. 47
Energy above the most stable polymorph in this dataset ... 0 meV/atom
Fermi-level density of states ... 2.4 states/eV per cell
Volume ... 64.39 Å³ per cell
Spin magnetization ... 0.00 μB/f.u.
Energy relative to the elements ... 343 meV/atom

Question: Look up the energy relative to the elements of the first one.
Answer: 328 meV/atom

Question: Look up the Fermi-level density of states of the third one.
Answer: 2.4 states/eV per cell

Question: Among the records above, which one has the lowest energy relative to the elements?
Answer: number 1

Question: Which value of energy relative to the elements does entry 3 give?
Answer: 343 meV/atom